# 1
Density functional theory data (GGA-PBEsol) for a relaxed structure of LaZr3Ti.

Computed properties:
The calculation puts the volume at 127.8 Å³/f.u. Its crystal system is cubic. The offset from the most stable computed form comes out at 17.272 kcal/mol of atoms. As for the size of the total moment: 1.2 μB/cell. The calculation puts the formation energy at 1.32 eV per atom.

Cell and atoms, written as CIF:
```
data_LaZr3Ti
_chemical_formula_sum 'La1 Zr3 Ti1'
_cell_length_a 5.037
_cell_length_b 5.037
_cell_length_c 5.037
_cell_angle_alpha 90.00
_cell_angle_beta 90.00
_cell_angle_gamma 90.00
_symmetry_space_group_name_H-M 'P m -3 m'
_symmetry_Int_Tables_number 221
_symmetry_space_group_name_Hall '-P 4 2 3'
loop_
_atom_site_label
_atom_site_type_symbol
_atom_site_fract_x
_atom_site_fract_y
_atom_site_fract_z
La1 La 0.000 0.000 0.000
Zr1 Zr 0.000 0.000 0.500
Ti1 Ti 0.500 0.500 0.500
```

---

# 2
Density functional theory data (GGA-PBEsol) for a relaxed structure of La3ZrTi.

Computed properties:
The calculation puts the volume at 171.5 Å³/f.u. Its crystal system is cubic. As for the size of the total moment: 3.1 μB/cell. The calculation puts the formation energy at 0.93 eV per atom.

Cell and atoms, written as CIF:
```
data_La3ZrTi
_chemical_formula_sum 'La3 Zr1 Ti1'
_cell_length_a 5.556
_cell_length_b 5.556
_cell_length_c 5.556
_cell_angle_alpha 90.00
_cell_angle_beta 90.00
_cell_angle_gamma 90.00
_symmetry_space_group_name_H-M 'P m -3 m'
_symmetry_Int_Tables_number 221
_symmetry_space_group_name_Hall '-P 4 2 3'
loop_
_atom_site_label
_atom_site_type_symbol
_atom_site_fract_x
_atom_site_fract_y
_atom_site_fract_z
La1 La 0.000 0.000 0.500
Zr1 Zr 0.000 0.000 0.000
Ti1 Ti 0.500 0.500 0.500
```

---

# 3
Density functional theory data (GGA-PBEsol) for a relaxed structure of LaZr3Ti.

Computed properties:
The calculation puts the volume at 128.8 Å³/f.u. Its crystal system is cubic. The offset from the most stable computed form comes out at 0.000 kcal/mol of atoms. As for the size of the total moment: 0.0 μB/cell. The calculation puts the formation energy at 0.57 eV per atom.

Cell and atoms, written as CIF:
```
data_LaZr3Ti
_chemical_formula_sum 'La1 Zr3 Ti1'
_cell_length_a 5.050
_cell_length_b 5.050
_cell_length_c 5.050
_cell_angle_alpha 90.00
_cell_angle_beta 90.00
_cell_angle_gamma 90.00
_symmetry_space_group_name_H-M 'P m -3 m'
_symmetry_Int_Tables_number 221
_symmetry_space_group_name_Hall '-P 4 2 3'
loop_
_atom_site_label
_atom_site_type_symbol
_atom_site_fract_x
_atom_site_fract_y
_atom_site_fract_z
La1 La 0.000 0.000 0.000
Zr1 Zr 0.000 0.500 0.500
Ti1 Ti 0.500 0.500 0.500
```

---

# 4
Density functional theory data (GGA-PBEsol) for a relaxed structure of La3Tl5.

Computed properties:
The calculation puts the volume at 229.9 Å³/f.u. Its crystal system is orthorhombic. The offset from the most stable computed form comes out at 0.000 kcal/mol of atoms. As for the size of the total moment: 0.0 μB/cell. The calculation puts the formation energy at -0.42 eV per atom.

Cell and atoms, written as CIF:
```
data_La3Tl5
_chemical_formula_sum 'La6 Tl10'
_cell_length_a 9.070
_cell_length_b 10.123
_cell_length_c 5.009
_cell_angle_alpha 90.00
_cell_angle_beta 90.00
_cell_angle_gamma 90.00
_symmetry_space_group_name_H-M 'C m m m'
_symmetry_Int_Tables_number 65
_symmetry_space_group_name_Hall '-C 2 2'
loop_
_atom_site_label
_atom_site_type_symbol
_atom_site_fract_x
_atom_site_fract_y
_atom_site_fract_z
La1 La 0.000 0.000 0.000
La2 La 0.000 0.279 0.500
Tl1 Tl 0.000 0.500 0.000
Tl2 Tl 0.232 0.000 0.500
Tl3 Tl 0.250 0.250 0.000
```

---

# 5
Density functional theory data (GGA-PBEsol) for a relaxed structure of La3Tl5.

Computed properties:
The calculation puts the volume at 233.4 Å³/f.u. Its crystal system is tetragonal. The offset from the most stable computed form comes out at 2.002 kcal/mol of atoms. As for the size of the total moment: 0.0 μB/cell. The calculation puts the formation energy at -0.33 eV per atom.

Cell and atoms, written as CIF:
```
data_La3Tl5
_chemical_formula_sum 'La12 Tl20'
_cell_length_a 12.214
_cell_length_b 12.214
_cell_length_c 6.257
_cell_angle_alpha 90.00
_cell_angle_beta 90.00
_cell_angle_gamma 90.00
_symmetry_space_group_name_H-M 'I 4/m c m'
_symmetry_Int_Tables_number 140
_symmetry_space_group_name_Hall '-I 4 2c'
loop_
_atom_site_label
_atom_site_type_symbol
_atom_site_fract_x
_atom_site_fract_y
_atom_site_fract_z
La1 La 0.000 0.000 0.250
La2 La 0.166 0.334 0.000
Tl1 Tl 0.000 0.500 0.250
Tl2 Tl 0.081 0.233 0.500
```

---

# 6
Density functional theory data (GGA-PBEsol) for a relaxed structure of La2Tl.

Computed properties:
The calculation puts the volume at 89.3 Å³/f.u. Its crystal system is orthorhombic. As for the size of the total moment: 0.0 μB/cell. The calculation puts the formation energy at -0.32 eV per atom.

Cell and atoms, written as CIF:
```
data_La2Tl
_chemical_formula_sum 'La8 Tl4'
_cell_length_a 3.673
_cell_length_b 17.361
_cell_length_c 5.603
_cell_angle_alpha 90.00
_cell_angle_beta 90.00
_cell_angle_gamma 90.00
_symmetry_space_group_name_H-M 'C m c m'
_symmetry_Int_Tables_number 63
_symmetry_space_group_name_Hall '-C 2c 2'
loop_
_atom_site_label
_atom_site_type_symbol
_atom_site_fract_x
_atom_site_fract_y
_atom_site_fract_z
La1 La 0.000 0.061 0.250
La2 La 0.000 0.265 0.750
Tl1 Tl 0.000 0.395 0.250
```

---

# 7
Density functional theory data (GGA-PBEsol) for a relaxed structure of La2Tl.

Computed properties:
The calculation puts the volume at 92.5 Å³/f.u. Its crystal system is hexagonal. As for the size of the total moment: 0.0 μB/cell. The calculation puts the formation energy at -0.33 eV per atom.

Cell and atoms, written as CIF:
```
data_La2Tl
_chemical_formula_sum 'La4 Tl2'
_cell_length_a 5.5450
_cell_length_b 5.5450
_cell_length_c 6.9510
_cell_angle_alpha 90.00
_cell_angle_beta 90.00
_cell_angle_gamma 120.00
_symmetry_space_group_name_H-M 'P 63/m m c'
_symmetry_Int_Tables_number 194
_symmetry_space_group_name_Hall '-P 6c 2c'
loop_
_atom_site_label
_atom_site_type_symbol
_atom_site_fract_x
_atom_site_fract_y
_atom_site_fract_z
La1 La 0.0000 0.0000 0.0000
La2 La 0.3333 0.6667 0.2500
Tl1 Tl 0.3333 0.6667 0.7500
```

---

# 8
Density functional theory data (GGA-PBEsol) for a relaxed structure of La2Tl.

Computed properties:
The calculation puts the volume at 95.0 Å³/f.u. Its crystal system is tetragonal. As for the size of the total moment: 0.0 μB/cell. The calculation puts the formation energy at -0.24 eV per atom.

Cell and atoms, written as CIF:
```
data_La2Tl
_chemical_formula_sum 'La8 Tl4'
_cell_length_a 7.972
_cell_length_b 7.972
_cell_length_c 5.978
_cell_angle_alpha 90.00
_cell_angle_beta 90.00
_cell_angle_gamma 90.00
_symmetry_space_group_name_H-M 'I 4/m c m'
_symmetry_Int_Tables_number 140
_symmetry_space_group_name_Hall '-I 4 2c'
loop_
_atom_site_label
_atom_site_type_symbol
_atom_site_fract_x
_atom_site_fract_y
_atom_site_fract_z
La1 La 0.152 0.348 0.000
Tl1 Tl 0.000 0.000 0.250
```

---

# 9
Density functional theory data (GGA-PBEsol) for a relaxed structure of La2Tl.

Computed properties:
The calculation puts the volume at 89.2 Å³/f.u. Its crystal system is trigonal. As for the size of the total moment: 0.0 μB/cell. The calculation puts the formation energy at -0.28 eV per atom.

Cell and atoms, written as CIF:
```
data_La2Tl
_chemical_formula_sum 'La2 Tl1'
_cell_length_a 5.2057
_cell_length_b 5.2057
_cell_length_c 3.7994
_cell_angle_alpha 90.00
_cell_angle_beta 90.00
_cell_angle_gamma 120.00
_symmetry_space_group_name_H-M 'P -3 m 1'
_symmetry_Int_Tables_number 164
_symmetry_space_group_name_Hall '-P 3 2"'
loop_
_atom_site_label
_atom_site_type_symbol
_atom_site_fract_x
_atom_site_fract_y
_atom_site_fract_z
La1 La 0.3333 0.6667 0.3271
Tl1 Tl 0.0000 0.0000 0.0000
```

---

# 10
Density functional theory data (GGA-PBEsol) for a relaxed structure of LaTl2W.

Computed properties:
The calculation puts the volume at 91.5 Å³/f.u. Its crystal system is orthorhombic. The offset from the most stable computed form comes out at 0.000 kcal/mol of atoms. As for the size of the total moment: 0.0 μB/cell. The calculation puts the formation energy at 0.46 eV per atom.

Cell and atoms, written as CIF:
```
data_LaTl2W
_chemical_formula_sum 'La1 Tl2 W1'
_cell_length_a 3.094
_cell_length_b 4.344
_cell_length_c 6.811
_cell_angle_alpha 90.00
_cell_angle_beta 90.00
_cell_angle_gamma 90.00
_symmetry_space_group_name_H-M 'P m m m'
_symmetry_Int_Tables_number 47
loop_
_symmetry_equiv_pos_as_xyz
'x,y,z'
'-x,-y,-z'
'-x,-y,z'
'x,y,-z'
'x,-y,-z'
'-x,y,z'
'-x,y,-z'
'x,-y,z'
loop_
_atom_site_label
_atom_site_type_symbol
_atom_site_fract_x
_atom_site_fract_y
_atom_site_fract_z
La1 La 0.000 0.000 0.000
Tl1 Tl 0.500 0.500 0.286
W1 W 0.000 0.000 0.500
```

---

# 11
Density functional theory data (GGA-PBEsol) for a relaxed structure of LaTl2W.

Computed properties:
The calculation puts the volume at 97.8 Å³/f.u. Its crystal system is cubic. The offset from the most stable computed form comes out at 8.653 kcal/mol of atoms. As for the size of the total moment: 10.3 μB/cell. The calculation puts the formation energy at 0.83 eV per atom.

Cell and atoms, written as CIF:
```
data_LaTl2W
_chemical_formula_sum 'La4 Tl8 W4'
_cell_length_a 7.313
_cell_length_b 7.313
_cell_length_c 7.313
_cell_angle_alpha 90.00
_cell_angle_beta 90.00
_cell_angle_gamma 90.00
_symmetry_space_group_name_H-M 'F -4 3 m'
_symmetry_Int_Tables_number 216
_symmetry_space_group_name_Hall 'F -4 2 3'
loop_
_atom_site_label
_atom_site_type_symbol
_atom_site_fract_x
_atom_site_fract_y
_atom_site_fract_z
La1 La 0.000 0.000 0.000
Tl1 Tl 0.000 0.000 0.500
Tl2 Tl 0.250 0.250 0.250
W1 W 0.250 0.250 0.750
```

---

# 12
Density functional theory data (GGA-PBEsol) for a relaxed structure of LaTl2W.

Computed properties:
The calculation puts the volume at 92.4 Å³/f.u. Its crystal system is orthorhombic. The offset from the most stable computed form comes out at 4.807 kcal/mol of atoms. As for the size of the total moment: 0.0 μB/cell. The calculation puts the formation energy at 0.67 eV per atom.

Cell and atoms, written as CIF:
```
data_LaTl2W
_chemical_formula_sum 'La2 Tl4 W2'
_cell_length_a 6.180
_cell_length_b 9.862
_cell_length_c 3.031
_cell_angle_alpha 90.00
_cell_angle_beta 90.00
_cell_angle_gamma 90.00
_symmetry_space_group_name_H-M 'C m m m'
_symmetry_Int_Tables_number 65
_symmetry_space_group_name_Hall '-C 2 2'
loop_
_atom_site_label
_atom_site_type_symbol
_atom_site_fract_x
_atom_site_fract_y
_atom_site_fract_z
La1 La 0.000 0.000 0.000
Tl1 Tl 0.250 0.250 0.500
W1 W 0.000 0.500 0.000
```

---

What is the size of the total moment in the seventh record?
0.0 μB/cell